Entry from Alexandria via LeMat-Bulk: a relaxed CaMoPd crystal (PBE).

Values from the calculation:
Spin magnetization, Bohr magnetons per cell: 0.000
DOS at the Fermi energy, states/eV per cell: 11.17
Energy of formation from the pure elements, eV per atom: 0.6836
ΔE to the lowest computed polymorph, meV per atom: 784
Crystal system: cubic
Calculated volume, Å³ per atom: 22.2

a = 6.4343 Å, b = 6.4343 Å, c = 6.4343 Å
α = 90.00°, β = 90.00°, γ = 90.00°
Space group F-43m (No. 216)
Symmetry-distinct sites (fractional):
Ca  0.0000  0.0000  0.0000 [4 per cell]
Mo  0.0000  0.0000  0.5000 [4 per cell]
Pd  0.2500  0.2500  0.2500 [4 per cell]

Entry from Alexandria via LeMat-Bulk: a relaxed LiZnW4 crystal (PBE).

Values from the calculation:
Spin magnetization, Bohr magnetons per cell: 0.000
DOS at the Fermi energy, states/eV per cell: 27.90
Energy of formation from the pure elements, eV per atom: 0.7504
Crystal system: cubic
Calculated volume, Å³ per atom: 17.5

a = 7.4927 Å, b = 7.4927 Å, c = 7.4927 Å
α = 90.00°, β = 90.00°, γ = 90.00°
Space group F-43m (No. 216)
Symmetry-distinct sites (fractional):
Li  0.0000  0.0000  0.0000 [4 per cell]
Zn  0.2500  0.2500  0.7500 [4 per cell]
W  0.1255  0.1255  0.3745 [16 per cell]